The following is a GGA-PBE calculation of a geometry-optimized Ca11Cd9Pt4 structure, from Alexandria via LeMat-Bulk.

Calculated values
As for the energy of formation from the pure elements: -52.5 kJ per mole of atoms. For the density of states at the Fermi level, the calculation gives 17.03 states/eV per cell. For the calculated total energy, the calculation gives -2.8110 eV per atom. The spin magnetization is 0.00 μB/cell. As for the symmetry: Cmmm, No. 65. The crystal system is orthorhombic.

abc: 3.925 13.146 13.146
angles: 112.47 90.00 90.00
Atoms (fractional coordinates):
1 Pt 0.500 0.550 0.749
2 Pt 0.500 0.450 0.251
3 Pt 0.500 0.749 0.550
4 Pt 0.500 0.251 0.450
5 Ca 0.000 0.165 0.835
6 Ca 0.000 0.000 0.000
7 Ca 0.000 0.921 0.585
8 Ca 0.000 0.628 0.372
9 Ca 0.000 0.372 0.628
10 Ca 0.000 0.694 0.694
11 Ca 0.000 0.585 0.921
12 Ca 0.000 0.415 0.079
13 Ca 0.000 0.306 0.306
14 Ca 0.000 0.079 0.415
15 Ca 0.000 0.835 0.165
16 Cd 0.500 0.841 0.371
17 Cd 0.500 0.783 0.927
18 Cd 0.500 0.073 0.217
19 Cd 0.500 0.500 0.500
20 Cd 0.500 0.371 0.841
21 Cd 0.500 0.217 0.073
22 Cd 0.500 0.927 0.783
23 Cd 0.500 0.629 0.159
24 Cd 0.500 0.159 0.629